Density functional theory data (meta-GGA SCAN) for a PBEsol-optimized structure of TaTl2.

Properties
The symmetry is No. 71. The calculation puts the raw total energy at -208.92 eV per cell. For the energy relative to the elements, the calculation gives 0.794 eV per atom.

```
data_TaTl2
_chemical_formula_sum 'Ta1 Tl2'
_cell_length_a 3.123
_cell_length_b 4.024
_cell_length_c 5.758
_cell_angle_alpha 110.45
_cell_angle_beta 105.74
_cell_angle_gamma 90.00
_space_group_name_H-M_alt 'P 1'
_space_group_IT_number 1
_space_group_name_Hall 'P 1'
loop_
_atom_site_label
_atom_site_fract_x
_atom_site_fract_y
_atom_site_fract_z
Tl1 0.657 0.657 0.314
Tl2 0.343 0.343 0.686
Ta1 0.000 0.000 0.000
```